Computed, not measured: a crystal of LiScSi relaxed with PBEsol at the meta-GGA SCAN level of DFT.

The structure belongs to space group Imm2 (No. 44); the cell edges are 2.989, 4.174 and 8.061 Å and the angles 90.00°, 90.00° and 90.00°. The asymmetric unit holds Li at (0.000, 0.000, 0.000), Sc at (0.000, 0.000, 0.675) and Si at (0.000, 0.000, 0.327).

As for the energy relative to the elements, uncorrected: -0.248 eV/atom. The calculated volume comes out at 100.58 Å³/cell. The density of states at the Fermi level comes out at 0.434 states/eV/atom.